# U2Ga2Co5Ge PBE-GGA optimized geometry
data_U2Ga2Co5Ge
_space_group_name_H-M_alt 'P 1'
_space_group_IT_number 1
_space_group_name_Hall 'P 1'
_cell_length_a 10.106
_cell_length_b 10.106
_cell_length_c 2.835
_cell_angle_alpha 90.00
_cell_angle_beta 90.00
_cell_angle_gamma 90.00
loop_
_atom_site_label
_atom_site_type_symbol
_atom_site_fract_x
_atom_site_fract_y
_atom_site_fract_z
U1 U 0.169 0.331 0.000
U2 U 0.331 0.831 0.000
U3 U 0.669 0.169 0.000
U4 U 0.831 0.669 0.000
Ga1 Ga 0.134 0.634 0.000
Ga2 Ga 0.366 0.134 0.000
Ga3 Ga 0.634 0.866 0.000
Ga4 Ga 0.866 0.366 0.000
Co1 Co 0.000 0.500 0.500
Co2 Co 0.034 0.805 0.500
Co3 Co 0.195 0.034 0.500
Co4 Co 0.305 0.534 0.500
Co5 Co 0.466 0.305 0.500
Co6 Co 0.500 0.000 0.500
Co7 Co 0.534 0.695 0.500
Co8 Co 0.695 0.466 0.500
Co9 Co 0.805 0.966 0.500
Co10 Co 0.966 0.195 0.500
Ge1 Ge 0.000 0.000 0.000
Ge2 Ge 0.500 0.500 0.000
# Fermi-level density of states: 1.26 states/eV/atom
# total magnetic moment: 7.16 μB per cell
# DFT formation energy: -0.08 eV/atom



# CrTeHRh2 PBE-GGA optimized geometry
data_CrTeHRh2
_space_group_name_H-M_alt 'P 1'
_space_group_IT_number 1
_space_group_name_Hall 'P 1'
_cell_length_a 4.012
_cell_length_b 4.012
_cell_length_c 4.074
_cell_angle_alpha 90.00
_cell_angle_beta 90.00
_cell_angle_gamma 90.00
loop_
_atom_site_label
_atom_site_type_symbol
_atom_site_fract_x
_atom_site_fract_y
_atom_site_fract_z
Cr1 Cr 0.000 0.000 0.000
Te1 Te 0.500 0.500 0.000
H1 H 0.000 0.000 0.500
Rh1 Rh 0.000 0.500 0.500
Rh2 Rh 0.500 0.000 0.500
# Fermi-level density of states: 0.83 states/eV/atom
# total magnetic moment: 2.64 μB per cell



# K2PtSe PBE-GGA optimized geometry
data_K2PtSe
_space_group_name_H-M_alt 'P 1'
_space_group_IT_number 1
_space_group_name_Hall 'P 1'
_cell_length_a 3.706
_cell_length_b 3.706
_cell_length_c 9.723
_cell_angle_alpha 90.00
_cell_angle_beta 90.00
_cell_angle_gamma 90.00
loop_
_atom_site_label
_atom_site_type_symbol
_atom_site_fract_x
_atom_site_fract_y
_atom_site_fract_z
K1 K 0.000 0.000 0.000
K2 K 0.500 0.500 0.421
Pt1 Pt 0.000 0.000 0.688
Se1 Se 0.500 0.500 0.735
# Fermi-level density of states: 0.84 states/eV/atom
# E_form (uncorrected): -236.1 meV per atom
# total magnetic moment: 0.00 μB per cell



# YMg3Ag4 PBE-GGA optimized geometry
data_YMg3Ag4
_space_group_name_H-M_alt 'P 1'
_space_group_IT_number 1
_space_group_name_Hall 'P 1'
_cell_length_a 4.813
_cell_length_b 4.813
_cell_length_c 6.980
_cell_angle_alpha 90.00
_cell_angle_beta 90.00
_cell_angle_gamma 90.00
loop_
_atom_site_label
_atom_site_type_symbol
_atom_site_fract_x
_atom_site_fract_y
_atom_site_fract_z
Y1 Y 0.000 0.000 0.000
Mg1 Mg 0.000 0.000 0.500
Mg2 Mg 0.500 0.500 0.000
Mg3 Mg 0.500 0.500 0.500
Ag1 Ag 0.000 0.500 0.269
Ag2 Ag 0.000 0.500 0.731
Ag3 Ag 0.500 0.000 0.269
Ag4 Ag 0.500 0.000 0.731
# Fermi-level density of states: 0.42 states/eV/atom
# total magnetic moment: 0.00 μB per cell
# DFT formation energy: -0.24 eV/atom



The records above yield raw total energy values of -6.9591, -6.1748, -3.1661, -3.0761 eV per atom, respectively.